# 1
PBE SIO3F, optimized geometry; total DFT energy (no corrections) = -4.809 eV/atom; calculated volume = 21.2 A^3/atom; SG = P2_12_12_1 (19); ΔE_f (raw) = -1.072 eV/atom
1.0
5.909 0.000 0.000
0.000 12.579 0.000
0.000 0.000 13.688
O F I S
24 8 8 8
Cartesian
3.365 2.278 7.567 O
2.544 8.568 12.966 O
0.879 4.716 8.446 O
4.461 8.444 8.907 O
0.055 2.665 3.154 O
0.410 4.011 6.122 O
2.900 9.914 9.998 O
1.506 10.425 4.782 O
5.238 11.355 3.972 O
2.076 7.864 1.601 O
1.448 2.155 11.626 O
3.541 11.719 0.149 O
0.587 7.149 13.539 O
3.833 1.574 5.243 O
2.368 5.430 6.695 O
3.626 1.224 10.817 O
3.010 3.625 10.534 O
5.323 0.860 6.993 O
4.403 4.135 2.063 O
5.499 10.301 0.723 O
2.283 7.514 9.716 O
5.854 8.954 3.690 O
0.671 5.065 2.872 O
5.030 11.005 12.087 O
3.069 12.561 6.892 F
0.115 6.308 6.796 F
2.840 6.271 13.641 F
3.541 2.720 12.713 F
5.322 9.859 5.869 F
2.368 9.010 7.820 F
5.794 0.019 0.048 F
0.587 3.569 0.975 F
2.751 0.616 2.130 I
4.824 4.115 9.540 I
1.869 2.175 4.148 I
1.085 10.405 10.992 I
5.706 5.673 11.559 I
4.040 8.464 2.696 I
3.158 6.906 4.715 I
0.204 11.963 8.974 I
3.964 1.295 6.704 S
4.900 11.284 13.548 S
0.115 10.282 4.494 S
1.009 4.995 6.984 S
5.794 3.993 2.350 S
1.945 7.585 0.140 S
3.069 8.586 9.194 S
2.840 2.297 11.338 S

---

# 2
PBE SI2OF, optimized geometry; total DFT energy (no corrections) = -1.855 eV/atom; relative energy among the computed polymorphs = 843 meV per atom; calculated volume = 20.3 A^3/atom; SG = P4/mmm (123); ΔE_f (raw) = 0.957 eV/atom
1.0
-2.328 -0.080 4.575
-4.565 -0.303 -2.328
0.229 -3.835 0.050
S O I F
1 1 2 1
Cartesian
-3.332 -2.109 1.149 S
0.115 -1.918 0.025 O
-1.164 -0.040 2.288 I
-2.283 -0.152 -1.164 I
0.000 0.000 0.000 F

---

- total DFT energy (no corrections) of number 2 (SI2OF)?
  -1.855 eV/atom

---

Copy entry 2 word for word.
PBE SI2OF, optimized geometry; total DFT energy (no corrections) = -1.855 eV/atom; relative energy among the computed polymorphs = 843 meV per atom; calculated volume = 20.3 A^3/atom; SG = P4/mmm (123); ΔE_f (raw) = 0.957 eV/atom
1.0
-2.328 -0.080 4.575
-4.565 -0.303 -2.328
0.229 -3.835 0.050
S O I F
1 1 2 1
Cartesian
-3.332 -2.109 1.149 S
0.115 -1.918 0.025 O
-1.164 -0.040 2.288 I
-2.283 -0.152 -1.164 I
0.000 0.000 0.000 F